#A
# HfOs3Pb

A geometry-optimized HfOs3Pb structure (PBE, Alexandria).

The structure in CIF format:
```
data_HfOs3Pb
_chemical_formula_sum 'Hf1 Os3 Pb1'
_symmetry_space_group_name_H-M 'P m -3 m'
_symmetry_Int_Tables_number 221
_symmetry_space_group_name_Hall '-P 4 2 3'
_cell_length_a 4.883
_cell_length_b 4.883
_cell_length_c 4.883
_cell_angle_alpha 90.00
_cell_angle_beta 90.00
_cell_angle_gamma 90.00
loop_
_atom_site_label
_atom_site_type_symbol
_atom_site_fract_x
_atom_site_fract_y
_atom_site_fract_z
_atom_site_occupancy
Hf1 Hf 0.000 0.000 0.000 1
Os1 Os 0.000 0.000 0.500 1
Pb1 Pb 0.500 0.500 0.500 1
```

## Properties
As for the density of states at the Fermi level: 1.448 states/eV/atom.

---

#B
# HfOs3Pb

A geometry-optimized HfOs3Pb structure (PBE, Alexandria).

The structure in CIF format:
```
data_HfOs3Pb
_chemical_formula_sum 'Hf1 Os3 Pb1'
_symmetry_space_group_name_H-M 'P m -3 m'
_symmetry_Int_Tables_number 221
_symmetry_space_group_name_Hall '-P 4 2 3'
_cell_length_a 4.847
_cell_length_b 4.847
_cell_length_c 4.847
_cell_angle_alpha 90.00
_cell_angle_beta 90.00
_cell_angle_gamma 90.00
loop_
_atom_site_label
_atom_site_type_symbol
_atom_site_fract_x
_atom_site_fract_y
_atom_site_fract_z
_atom_site_occupancy
Hf1 Hf 0.000 0.000 0.000 1
Os1 Os 0.000 0.500 0.500 1
Pb1 Pb 0.500 0.500 0.500 1
```

## Properties
As for the density of states at the Fermi level: 0.851 states/eV/atom.

---

It is #A that is the most stable of them.

---

#A
# HfOsPb2

A geometry-optimized HfOsPb2 structure (PBE, Alexandria).

The structure in CIF format:
```
data_HfOsPb2
_chemical_formula_sum 'Hf4 Os4 Pb8'
_symmetry_space_group_name_H-M 'F m -3 m'
_symmetry_Int_Tables_number 225
_symmetry_space_group_name_Hall '-F 4 2 3'
_cell_length_a 6.949
_cell_length_b 6.949
_cell_length_c 6.949
_cell_angle_alpha 90.00
_cell_angle_beta 90.00
_cell_angle_gamma 90.00
loop_
_atom_site_label
_atom_site_type_symbol
_atom_site_fract_x
_atom_site_fract_y
_atom_site_fract_z
_atom_site_occupancy
Hf1 Hf 0.000 0.000 0.000 1
Os1 Os 0.000 0.000 0.500 1
Pb1 Pb 0.250 0.250 0.250 1
```

## Properties
As for the density of states at the Fermi level: 1.280 states/eV/atom.

---

#B
# HfOsPb2

A geometry-optimized HfOsPb2 structure (PBE, Alexandria).

The structure in CIF format:
```
data_HfOsPb2
_chemical_formula_sum 'Hf4 Os4 Pb8'
_symmetry_space_group_name_H-M 'I -4 2 d'
_symmetry_Int_Tables_number 122
_symmetry_space_group_name_Hall 'I -4 2bw'
_cell_length_a 8.041
_cell_length_b 8.041
_cell_length_c 5.810
_cell_angle_alpha 90.00
_cell_angle_beta 90.00
_cell_angle_gamma 90.00
loop_
_atom_site_label
_atom_site_type_symbol
_atom_site_fract_x
_atom_site_fract_y
_atom_site_fract_z
_atom_site_occupancy
Hf1 Hf 0.000 0.000 0.000 1
Os1 Os 0.000 0.000 0.500 1
Pb1 Pb 0.213 0.750 0.625 1
```

## Properties
As for the density of states at the Fermi level: 0.590 states/eV/atom.

---

It is #A that is the most stable of them.

---

#A
# Hf2OsPd

A geometry-optimized Hf2OsPd structure (PBE, Alexandria).

The structure in CIF format:
```
data_Hf2OsPd
_chemical_formula_sum 'Hf8 Os4 Pd4'
_symmetry_space_group_name_H-M 'F m -3 m'
_symmetry_Int_Tables_number 225
_symmetry_space_group_name_Hall '-F 4 2 3'
_cell_length_a 6.577
_cell_length_b 6.577
_cell_length_c 6.577
_cell_angle_alpha 90.00
_cell_angle_beta 90.00
_cell_angle_gamma 90.00
loop_
_atom_site_label
_atom_site_type_symbol
_atom_site_fract_x
_atom_site_fract_y
_atom_site_fract_z
_atom_site_occupancy
Hf1 Hf 0.250 0.250 0.250 1
Os1 Os 0.000 0.000 0.000 1
Pd1 Pd 0.000 0.000 0.500 1
```

## Properties
As for the density of states at the Fermi level: 0.591 states/eV/atom.

---

#B
# Hf2OsPd

A geometry-optimized Hf2OsPd structure (PBE, Alexandria).

The structure in CIF format:
```
data_Hf2OsPd
_chemical_formula_sum 'Hf8 Os4 Pd4'
_symmetry_space_group_name_H-M 'I -4 2 d'
_symmetry_Int_Tables_number 122
_symmetry_space_group_name_Hall 'I -4 2bw'
_cell_length_a 7.220
_cell_length_b 7.220
_cell_length_c 5.876
_cell_angle_alpha 90.00
_cell_angle_beta 90.00
_cell_angle_gamma 90.00
loop_
_atom_site_label
_atom_site_type_symbol
_atom_site_fract_x
_atom_site_fract_y
_atom_site_fract_z
_atom_site_occupancy
Hf1 Hf 0.242 0.250 0.125 1
Os1 Os 0.000 0.000 0.000 1
Pd1 Pd 0.000 0.000 0.500 1
```

## Properties
As for the density of states at the Fermi level: 0.337 states/eV/atom.

---

It is #A that is the most stable of them.